(1)
Entry from the Alexandria database: CaCrRh after structural relaxation (GGA-PBE). Values from VASP.

The structure in Quantum ESPRESSO input format:
```
&SYSTEM
  ibrav = 0, nat = 3, ntyp = 3
/
ATOMIC_SPECIES
Ca 40.08 Ca.upf
Cr 52.00 Cr.upf
Rh 102.91 Rh.upf
CELL_PARAMETERS angstrom
3.2422 0.0000 0.0000
-1.6211 2.8078 0.0000
0.0000 0.0000 6.6825
ATOMIC_POSITIONS crystal
Ca 0.0000 0.0000 0.0000
Cr 0.6667 0.3333 0.4094
Rh 0.3333 0.6667 0.6673
```

Space group   P3m1 (156)
Energy above the most stable polymorph in this dataset   360 meV per atom
Energy relative to the elements   11.32 kcal/mol of atoms

---

(2)
Entry from the Alexandria database: Ca2PtPb after structural relaxation (GGA-PBE). Values from VASP.

The structure in Quantum ESPRESSO input format:
```
&SYSTEM
  ibrav = 0, nat = 4, ntyp = 3
/
ATOMIC_SPECIES
Ca 40.08 Ca.upf
Pt 195.08 Pt.upf
Pb 207.20 Pb.upf
CELL_PARAMETERS angstrom
0.0000 3.6905 3.6905
3.6905 0.0000 3.6905
3.6905 3.6905 0.0000
ATOMIC_POSITIONS crystal
Ca 0.2500 0.2500 0.2500
Ca 0.7500 0.7500 0.7500
Pt 0.0000 0.0000 0.0000
Pb 0.5000 0.5000 0.5000
```

Space group   Fm-3m (225)
Energy above the most stable polymorph in this dataset   116 meV per atom
Energy relative to the elements   -13.95 kcal/mol of atoms

---

(3)
Entry from the Alexandria database: FePbAu2 after structural relaxation (GGA-PBE). Values from VASP.

The structure in Quantum ESPRESSO input format:
```
&SYSTEM
  ibrav = 0, nat = 4, ntyp = 3
/
ATOMIC_SPECIES
Fe 55.84 Fe.upf
Pb 207.20 Pb.upf
Au 196.97 Au.upf
CELL_PARAMETERS angstrom
1.5989 0.9231 8.9607
-1.5989 0.9231 8.9607
0.0000 -1.8463 8.9607
ATOMIC_POSITIONS crystal
Fe 0.0000 0.0000 0.0000
Pb 0.7528 0.7528 0.7528
Au 0.2638 0.2638 0.2638
Au 0.5145 0.5145 0.5145
```

Space group   R3m (160)
Energy relative to the elements   7.76 kcal/mol of atoms

---

(4)
Entry from the Alexandria database: Ge3OsCl after structural relaxation (GGA-PBE). Values from VASP.

The structure in Quantum ESPRESSO input format:
```
&SYSTEM
  ibrav = 0, nat = 5, ntyp = 3
/
ATOMIC_SPECIES
Ge 72.64 Ge.upf
Os 190.23 Os.upf
Cl 35.45 Cl.upf
CELL_PARAMETERS angstrom
4.8074 0.0000 0.0000
0.0000 4.8074 0.0000
0.0000 0.0000 4.8074
ATOMIC_POSITIONS crystal
Ge 0.0000 0.0000 0.5000
Ge 0.0000 0.5000 0.0000
Ge 0.5000 0.0000 0.0000
Os 0.0000 0.0000 0.0000
Cl 0.5000 0.5000 0.5000
```

Raw formation energy   0.0222 eV/atom
Space group   Pm-3m (221)

---

(5)
Entry from the Alexandria database: Co2TeSe2 after structural relaxation (GGA-PBE). Values from VASP.

The structure in Quantum ESPRESSO input format:
```
&SYSTEM
  ibrav = 0, nat = 5, ntyp = 3
/
ATOMIC_SPECIES
Co 58.93 Co.upf
Te 127.60 Te.upf
Se 78.96 Se.upf
CELL_PARAMETERS angstrom
-2.0105 2.0105 5.3579
2.0105 -2.0105 5.3579
2.0105 2.0105 -5.3579
ATOMIC_POSITIONS crystal
Co 0.1197 0.1197 0.0000
Co 0.8803 0.8803 0.0000
Te 0.5000 0.5000 0.0000
Se 0.2500 0.7500 0.5000
Se 0.7500 0.2500 0.5000
```

Raw formation energy   0.2500 eV/atom
Space group   I4/mmm (139)
Energy above the most stable polymorph in this dataset   291 meV per atom

---

(6)
Entry from the Alexandria database: CaPr2NdSm5 after structural relaxation (GGA-PBE). Values from VASP.

The structure in Quantum ESPRESSO input format:
```
&SYSTEM
  ibrav = 0, nat = 18, ntyp = 4
/
ATOMIC_SPECIES
Ca 40.08 Ca.upf
Pr 140.91 Pr.upf
Nd 144.24 Nd.upf
Sm 150.36 Sm.upf
CELL_PARAMETERS angstrom
-4.5315 4.5315 7.8053
4.5315 -4.5315 7.8053
4.5315 4.5315 -7.8053
ATOMIC_POSITIONS crystal
Ca 0.2500 0.7500 0.5000
Ca 0.7500 0.2500 0.5000
Pr 0.1167 0.6167 0.7333
Pr 0.3833 0.1167 0.5000
Pr 0.6167 0.8833 0.5000
Pr 0.8833 0.3833 0.2667
Nd 0.2500 0.2500 0.0000
Nd 0.7500 0.7500 0.0000
Sm 0.0000 0.0000 0.0000
Sm 0.0737 0.1609 0.5000
Sm 0.1609 0.6609 0.0873
Sm 0.3391 0.4263 0.5000
Sm 0.4263 0.9263 0.0873
Sm 0.5000 0.5000 0.0000
Sm 0.5737 0.0737 0.9127
Sm 0.6609 0.5737 0.5000
Sm 0.8391 0.3391 0.9127
Sm 0.9263 0.8391 0.5000
```

Space group   I4/mcm (140)
Energy relative to the elements   6.23 kcal/mol of atoms

---

(7)
Entry from the Alexandria database: K2InW after structural relaxation (GGA-PBE). Values from VASP.

The structure in Quantum ESPRESSO input format:
```
&SYSTEM
  ibrav = 0, nat = 4, ntyp = 3
/
ATOMIC_SPECIES
K 39.10 K.upf
In 114.82 In.upf
W 183.84 W.upf
CELL_PARAMETERS angstrom
1.5482 0.8939 12.5300
-1.5482 0.8939 12.5300
0.0000 -1.7877 12.5300
ATOMIC_POSITIONS crystal
K 0.2472 0.2472 0.2472
K 0.7528 0.7528 0.7528
In 0.0000 0.0000 0.0000
W 0.5000 0.5000 0.5000
```

Space group   R-3m (166)
Energy relative to the elements   25.96 kcal/mol of atoms

---

(8)
Entry from the Alexandria database: Pa2HgTe4 after structural relaxation (GGA-PBE). Values from VASP.

The structure in Quantum ESPRESSO input format:
```
&SYSTEM
  ibrav = 0, nat = 7, ntyp = 3
/
ATOMIC_SPECIES
Pa 231.04 Pa.upf
Hg 200.59 Hg.upf
Te 127.60 Te.upf
CELL_PARAMETERS angstrom
-3.6131 3.6131 3.8756
3.6131 -3.6131 3.8756
3.6131 3.6131 -3.8756
ATOMIC_POSITIONS crystal
Pa 0.0000 0.5000 0.5000
Pa 0.5000 0.0000 0.5000
Hg 0.0000 0.0000 0.0000
Te 0.0000 0.0000 0.5000
Te 0.0000 0.5000 0.0000
Te 0.5000 0.0000 0.0000
Te 0.5000 0.5000 0.5000
```

Raw formation energy   -0.5062 eV/atom
Space group   I4/mmm (139)
Energy above the most stable polymorph in this dataset   62 meV per atom

---

(9)
Entry from the Alexandria database: HfCrRu2 after structural relaxation (GGA-PBE). Values from VASP.

The structure in Quantum ESPRESSO input format:
```
&SYSTEM
  ibrav = 0, nat = 4, ntyp = 3
/
ATOMIC_SPECIES
Hf 178.49 Hf.upf
Cr 52.00 Cr.upf
Ru 101.07 Ru.upf
CELL_PARAMETERS angstrom
4.4109 0.0000 0.0000
0.0000 4.4109 0.0000
0.0000 0.0000 3.1629
ATOMIC_POSITIONS crystal
Hf 0.0000 0.0000 0.0000
Cr 0.5000 0.5000 0.0000
Ru 0.0000 0.5000 0.5000
Ru 0.5000 0.0000 0.5000
```

Space group   P4/mmm (123)
Energy relative to the elements   -6.25 kcal/mol of atoms

---

(10)
Entry from the Alexandria database: V2CoRh after structural relaxation (GGA-PBE). Values from VASP.

The structure in Quantum ESPRESSO input format:
```
&SYSTEM
  ibrav = 0, nat = 4, ntyp = 3
/
ATOMIC_SPECIES
V 50.94 V.upf
Co 58.93 Co.upf
Rh 102.91 Rh.upf
CELL_PARAMETERS angstrom
0.0000 2.9775 2.9775
2.9775 0.0000 2.9775
2.9775 2.9775 0.0000
ATOMIC_POSITIONS crystal
V 0.2500 0.2500 0.2500
V 0.7500 0.7500 0.7500
Co 0.0000 0.0000 0.0000
Rh 0.5000 0.5000 0.5000
```

Space group   Fm-3m (225)
Energy above the most stable polymorph in this dataset   144 meV per atom
Energy relative to the elements   -2.23 kcal/mol of atoms

---

(11)
Entry from the Alexandria database: PmDyLuSn after structural relaxation (GGA-PBE). Values from VASP.

The structure in Quantum ESPRESSO input format:
```
&SYSTEM
  ibrav = 0, nat = 4, ntyp = 4
/
ATOMIC_SPECIES
Pm 145.00 Pm.upf
Dy 162.50 Dy.upf
Lu 174.97 Lu.upf
Sn 118.71 Sn.upf
CELL_PARAMETERS angstrom
0.0000 3.8198 3.8198
3.8198 0.0000 3.8198
3.8198 3.8198 0.0000
ATOMIC_POSITIONS crystal
Pm 0.0000 0.0000 0.0000
Dy 0.7500 0.7500 0.7500
Lu 0.2500 0.2500 0.2500
Sn 0.5000 0.5000 0.5000
```

Space group   F-43m (216)
Energy relative to the elements   -4.29 kcal/mol of atoms